Arrangement one

The following is a PBE-GGA calculation of a geometry-optimized InSbAu2 structure, from Alexandria.

Values from the calculation:
- DOS(E_F): 1.8 states/eV/f.u.

Structure (CIF):
```
data_InSbAu2
_chemical_formula_sum 'In2 Sb2 Au4'
_cell_length_a 3.0442
_cell_length_b 5.3561
_cell_length_c 10.9212
_cell_angle_alpha 90.00
_cell_angle_beta 90.00
_cell_angle_gamma 90.00
_space_group_name_H-M_alt 'I m m 2'
_space_group_IT_number 44
loop_
_space_group_symop_operation_xyz
'x,y,z'
'-x,-y,z'
'-x,y,z'
'x,-y,z'
'x+1/2,y+1/2,z+1/2'
'-x+1/2,-y+1/2,z+1/2'
'-x+1/2,y+1/2,z+1/2'
'x+1/2,-y+1/2,z+1/2'
loop_
_atom_site_label
_atom_site_fract_x
_atom_site_fract_y
_atom_site_fract_z
_atom_site_occupancy
In1 0.0000 0.0000 0.0000 1
Sb1 0.0000 0.5000 0.7850 1
Au1 0.0000 0.0000 0.5230 1
Au2 0.0000 0.5000 0.2541 1
```

=====

Arrangement two

The following is a PBE-GGA calculation of a geometry-optimized InSbAu2 structure, from Alexandria.

Values from the calculation:
- DOS(E_F): 1.8 states/eV/f.u.

Structure (CIF):
```
data_InSbAu2
_chemical_formula_sum 'In1 Sb1 Au2'
_cell_length_a 3.4743
_cell_length_b 3.4743
_cell_length_c 7.4794
_cell_angle_alpha 90.00
_cell_angle_beta 90.00
_cell_angle_gamma 90.00
_space_group_name_H-M_alt 'P 4 m m'
_space_group_IT_number 99
loop_
_space_group_symop_operation_xyz
'x,y,z'
'-y,x,z'
'-x,-y,z'
'y,-x,z'
'-x,y,z'
'y,x,z'
'x,-y,z'
'-y,-x,z'
loop_
_atom_site_label
_atom_site_fract_x
_atom_site_fract_y
_atom_site_fract_z
_atom_site_occupancy
In1 0.0000 0.0000 0.0000 1
Sb1 0.5000 0.5000 0.3335 1
Au1 0.0000 0.0000 0.5555 1
Au2 0.5000 0.5000 0.7790 1
```

=====

Arrangement three

The following is a PBE-GGA calculation of a geometry-optimized InSbAu2 structure, from Alexandria.

Values from the calculation:
- DOS(E_F): 1.5 states/eV/f.u.

Structure (CIF):
```
data_InSbAu2
_chemical_formula_sum 'In3 Sb3 Au6'
_cell_length_a 4.1064
_cell_length_b 4.1064
_cell_length_c 19.6731
_cell_angle_alpha 90.00
_cell_angle_beta 90.00
_cell_angle_gamma 120.00
_space_group_name_H-M_alt 'R 3 m'
_space_group_IT_number 160
_space_group_name_Hall 'R 3 -2"'
loop_
_atom_site_label
_atom_site_fract_x
_atom_site_fract_y
_atom_site_fract_z
_atom_site_occupancy
In1 0.0000 0.0000 0.0000 1
Sb1 0.0000 0.0000 0.8288 1
Au1 0.0000 0.0000 0.2496 1
Au2 0.0000 0.0000 0.4122 1
```

=====

Arrangement four

The following is a PBE-GGA calculation of a geometry-optimized InSbAu2 structure, from Alexandria.

Values from the calculation:
- DOS(E_F): 1.4 states/eV/f.u.

Structure (CIF):
```
data_InSbAu2
_chemical_formula_sum 'In1 Sb1 Au2'
_cell_length_a 4.3255
_cell_length_b 3.6943
_cell_length_c 6.0012
_cell_angle_alpha 90.00
_cell_angle_beta 107.93
_cell_angle_gamma 90.00
_space_group_name_H-M_alt 'P 1 2/m 1'
_space_group_IT_number 10
loop_
_space_group_symop_operation_xyz
'x,y,z'
'-x,-y,-z'
'-x,y,-z'
'x,-y,z'
loop_
_atom_site_label
_atom_site_fract_x
_atom_site_fract_y
_atom_site_fract_z
_atom_site_occupancy
In1 0.0000 0.0000 0.0000 1
Sb1 0.0000 0.0000 0.5000 1
Au1 0.4963 0.5000 0.2473 1
```

=====

Result of the stability comparison: arrangement two is the least stable of them.

=====

Arrangement one

The following is a PBE-GGA calculation of a geometry-optimized InSbAu2 structure, from Alexandria.

Values from the calculation:
- DOS(E_F): 1.4 states/eV/f.u.

Structure (CIF):
```
data_InSbAu2
_chemical_formula_sum 'In4 Sb4 Au8'
_cell_length_a 7.0685
_cell_length_b 7.0685
_cell_length_c 7.0685
_cell_angle_alpha 90.00
_cell_angle_beta 90.00
_cell_angle_gamma 90.00
_space_group_name_H-M_alt 'F m -3 m'
_space_group_IT_number 225
_space_group_name_Hall '-F 4 2 3'
loop_
_atom_site_label
_atom_site_fract_x
_atom_site_fract_y
_atom_site_fract_z
_atom_site_occupancy
In1 0.0000 0.0000 0.0000 1
Sb1 0.0000 0.0000 0.5000 1
Au1 0.2500 0.2500 0.2500 1
```

=====

Arrangement two

The following is a PBE-GGA calculation of a geometry-optimized InSbAu2 structure, from Alexandria.

Values from the calculation:
- DOS(E_F): 2.3 states/eV/f.u.

Structure (CIF):
```
data_InSbAu2
_chemical_formula_sum 'In2 Sb2 Au4'
_cell_length_a 5.9175
_cell_length_b 8.0260
_cell_length_c 4.9872
_cell_angle_alpha 90.00
_cell_angle_beta 125.43
_cell_angle_gamma 90.00
_space_group_name_H-M_alt 'C 1 2/m 1'
_space_group_IT_number 12
loop_
_space_group_symop_operation_xyz
'x,y,z'
'-x,-y,-z'
'-x,y,-z'
'x,-y,z'
'x+1/2,y+1/2,z'
'-x+1/2,-y+1/2,-z'
'-x+1/2,y+1/2,-z'
'x+1/2,-y+1/2,z'
loop_
_atom_site_label
_atom_site_fract_x
_atom_site_fract_y
_atom_site_fract_z
_atom_site_occupancy
In1 0.0000 0.0000 0.0000 1
Sb1 0.0000 0.5000 0.0000 1
Au1 0.2500 0.2500 0.5000 1
```

=====

Arrangement three

The following is a PBE-GGA calculation of a geometry-optimized InSbAu2 structure, from Alexandria.

Values from the calculation:
- DOS(E_F): 2.1 states/eV/f.u.

Structure (CIF):
```
data_InSbAu2
_chemical_formula_sum 'In4 Sb4 Au8'
_cell_length_a 7.0799
_cell_length_b 7.0799
_cell_length_c 7.0799
_cell_angle_alpha 90.00
_cell_angle_beta 90.00
_cell_angle_gamma 90.00
_space_group_name_H-M_alt 'F -4 3 m'
_space_group_IT_number 216
_space_group_name_Hall 'F -4 2 3'
loop_
_atom_site_label
_atom_site_fract_x
_atom_site_fract_y
_atom_site_fract_z
_atom_site_occupancy
In1 0.0000 0.0000 0.0000 1
Sb1 0.2500 0.2500 0.7500 1
Au1 0.0000 0.0000 0.5000 1
Au2 0.2500 0.2500 0.2500 1
```

=====

Result of the stability comparison: arrangement three is the least stable of them.